## Pm6Sm5Tm (PBE)

Data for crystalline Pm6Sm5Tm at its relaxed geometry.

Cell: 6.287 6.286 12.020 Å, 84.99 79.94 60.00°
Sites, in units of the cell vectors:
Sm1 0.834 0.333 0.500
Sm2 0.166 0.667 0.500
Pm1 0.250 0.000 0.249
Pm2 0.750 0.000 0.751
Sm3 0.333 0.333 0.000
Pm3 0.585 0.332 0.249
Pm4 0.083 0.332 0.751
Pm5 0.917 0.668 0.249
Sm4 0.667 0.667 0.000
Pm6 0.415 0.668 0.751
Sm5 0.500 0.000 0.500
Tm1 0.000 0.000 0.000

Output
SG   No. 12
DOS(E_F)   16.47 states/eV per cell
Calculated formation energy   0.01 eV per atom


## ZrTl2Ag (PBE)

Data for crystalline ZrTl2Ag at its relaxed geometry.

Cell: 10.578 10.578 10.578 Å, 17.89 17.89 17.89°
Sites, in units of the cell vectors:
Tl1 0.755 0.755 0.755
Ag1 0.246 0.246 0.246
Tl2 0.995 0.995 0.995
Zr1 0.504 0.504 0.504

Output
SG   No. 160
DOS(E_F)   2.19 states/eV per cell
Calculated formation energy   0.13 eV per atom


## Ac2PrYAs4 (PBE)

Data for crystalline Ac2PrYAs4 at its relaxed geometry.

Cell: 4.387 7.602 7.591 Å, 70.57 90.00 90.00°
Sites, in units of the cell vectors:
As1 0.000 0.734 0.750
As2 0.500 0.268 0.739
As3 0.500 0.732 0.261
As4 0.000 0.266 0.250
Y1 0.000 0.500 0.500
Ac1 0.500 0.000 0.500
Ac2 0.000 0.000 0.000
Pr1 0.500 0.500 0.000

Output
SG   No. 10
DOS(E_F)   0.65 states/eV per cell
Calculated formation energy   -1.48 eV per atom